(1)
VASP calculation (PBE) on a relaxed LiBeRu crystal.

Properties
* polymorph energy (0 for the lowest one): 41 meV/atom
* calculated volume: 12.96 Å³ per atom
* final energy: -5.017 eV/atom
* formation enthalpy at 0 K: -0.045 eV/atom

Structure (CIF):
```
data_LiBeRu
_chemical_formula_sum 'Li2 Be2 Ru2'
_space_group_name_H-M_alt 'P 4/n m m'
_space_group_IT_number 129
_cell_length_a 2.835
_cell_length_b 2.835
_cell_length_c 9.678
_cell_angle_alpha 90.00
_cell_angle_beta 90.00
_cell_angle_gamma 90.00
loop_
_space_group_symop_operation_xyz
'x,y,z'
'-x,-y,-z'
'-y+1/2,x,z'
'y+1/2,-x,-z'
'-x+1/2,-y+1/2,z'
'x+1/2,y+1/2,-z'
'y,-x+1/2,z'
'-y,x+1/2,-z'
'x+1/2,-y,-z'
'-x+1/2,y,z'
'-y,-x,-z'
'y,x,z'
'-x,y+1/2,-z'
'x,-y+1/2,z'
'y+1/2,x+1/2,-z'
'-y+1/2,-x+1/2,z'
loop_
_atom_site_label
_atom_site_fract_x
_atom_site_fract_y
_atom_site_fract_z
_atom_site_occupancy
Li1 0.250 0.250 0.113 1
Be1 0.250 0.250 0.716 1
Ru1 0.250 0.250 0.409 1
```


(2)
VASP calculation (PBE) on a relaxed LiBeRu crystal.

Properties
* polymorph energy (0 for the lowest one): 104 meV/atom
* calculated volume: 11.10 Å³ per atom
* final energy: -4.954 eV/atom
* formation enthalpy at 0 K: 0.018 eV/atom

Structure (CIF):
```
data_LiBeRu
_chemical_formula_sum 'Li4 Be4 Ru4'
_space_group_name_H-M_alt 'C m m m'
_space_group_IT_number 65
_space_group_name_Hall '-C 2 2'
_cell_length_a 3.382
_cell_length_b 10.632
_cell_length_c 3.705
_cell_angle_alpha 90.00
_cell_angle_beta 90.00
_cell_angle_gamma 90.00
loop_
_atom_site_label
_atom_site_fract_x
_atom_site_fract_y
_atom_site_fract_z
_atom_site_occupancy
Li1 0.000 0.165 0.000 1
Be1 0.000 0.000 0.500 1
Be2 0.000 0.500 0.000 1
Ru1 0.000 0.356 0.500 1
```


(3)
VASP calculation (PBE) on a relaxed LiBeTcRu2 crystal.

Properties
* calculated volume: 13.12 Å³ per atom
* final energy: -6.291 eV/atom
* formation enthalpy at 0 K: 0.620 eV/atom

Structure (CIF):
```
data_LiBeTcRu2
_chemical_formula_sum 'Li1 Be1 Tc1 Ru2'
_space_group_name_H-M_alt 'P 4/m m m'
_space_group_IT_number 123
_space_group_name_Hall '-P 4 2'
_cell_length_a 4.157
_cell_length_b 4.157
_cell_length_c 3.795
_cell_angle_alpha 90.00
_cell_angle_beta 90.00
_cell_angle_gamma 90.00
loop_
_atom_site_label
_atom_site_fract_x
_atom_site_fract_y
_atom_site_fract_z
_atom_site_occupancy
Li1 0.000 0.000 0.000 1
Be1 0.000 0.000 0.500 1
Tc1 0.500 0.500 0.000 1
Ru1 0.000 0.500 0.500 1
```